Entry 1:
VASP calculation (PBE-GGA) on a relaxed CaErAu4 crystal.

Cell lengths 3.743, 5.250, 7.512 Å; angles 80.12, 75.67, 110.96 degrees
Sites, in units of the cell vectors:
Au  0.657  0.990  0.176
Au  0.175  0.507  0.659
Au  0.827  0.487  0.337
Au  0.345  0.005  0.820
Ca  0.501  0.497  0.998
Er  0.001  0.997  0.498

Properties
For the excess energy over the best structure of this formula in the dataset, the calculation gives 0.00 eV/f.u. Its space group is No. 2. As for the energy of formation: -0.78 eV/atom. The calculation puts the calculated total energy at -24.3 eV per formula unit.


Entry 2:
VASP calculation (PBE-GGA) on a relaxed Ca2ErAu3 crystal.

Cell lengths 3.600, 5.081, 8.145 Å; angles 108.17, 90.00, 90.00 degrees
Sites, in units of the cell vectors:
Au  0.500  0.500  0.000
Au  0.500  0.846  0.692
Au  0.500  0.154  0.308
Ca  0.000  0.331  0.662
Ca  0.000  0.669  0.338
Er  0.000  0.000  0.000

Properties
Its space group is No. 65. As for the energy of formation: -0.82 eV/atom. The calculation puts the calculated total energy at -23.3 eV per formula unit.


Entry 3:
VASP calculation (PBE-GGA) on a relaxed Ca4ErAu5 crystal.

Cell lengths 3.633, 3.633, 18.053 Å; angles 90.00, 90.00, 90.00 degrees
Sites, in units of the cell vectors:
Ca  0.000  0.000  0.199
Ca  0.000  0.000  0.801
Ca  0.000  0.000  0.400
Ca  0.000  0.000  0.600
Au  0.500  0.500  0.701
Au  0.500  0.500  0.500
Au  0.500  0.500  0.090
Au  0.500  0.500  0.299
Au  0.500  0.500  0.910
Er  0.000  0.000  0.000

Properties
Its space group is No. 123. As for the energy of formation: -0.81 eV/atom. The calculation puts the calculated total energy at -37.0 eV per formula unit.


Entry 4:
VASP calculation (PBE-GGA) on a relaxed Ca5ErAu6 crystal.

Cell lengths 5.111, 7.268, 8.113 Å; angles 90.00, 71.64, 90.00 degrees
Sites, in units of the cell vectors:
Au  0.500  0.769  0.000
Au  0.159  0.244  0.681
Au  0.841  0.244  0.319
Au  0.500  0.231  0.000
Au  0.159  0.756  0.681
Au  0.841  0.756  0.319
Ca  0.334  0.500  0.333
Ca  0.000  0.500  0.000
Ca  0.330  0.000  0.339
Ca  0.670  0.000  0.661
Ca  0.666  0.500  0.667
Er  0.000  0.000  0.000

Properties
Its space group is No. 65. As for the energy of formation: -0.80 eV/atom. The calculation puts the calculated total energy at -43.9 eV per formula unit.


| no. | density of states at the Fermi level (states/eV/f.u.) |
| --- | --- |
| 1 | 2.11 |
| 2 | 3.57 |
| 3 | 6.31 |
| 4 | 7.47 |